The following is a DFT calculation (PBE) of a geometry-optimized RbTi6Se8 structure.

a = 9.993 Å, b = 9.993 Å, c = 3.592 Å
α = 90.00°, β = 90.00°, γ = 120.00°
Fractional positions:
Rb1 0.000 0.000 0.500
Ti1 0.870 0.508 0.251
Se1 0.950 0.302 0.247
Ti2 0.492 0.362 0.251
Ti3 0.508 0.638 0.749
Se2 0.333 0.667 0.250
Ti4 0.638 0.130 0.251
Ti5 0.130 0.492 0.749
Se3 0.667 0.333 0.750
Se4 0.647 0.950 0.753
Se5 0.050 0.698 0.753
Se6 0.302 0.353 0.753
Ti6 0.362 0.870 0.749
Se7 0.353 0.050 0.247
Se8 0.698 0.647 0.247

## Properties
As for the uncorrected formation energy: -18.4 eV per formula unit. The calculation puts the final energy at -94.62 eV per formula unit. For the volume, the calculation gives 20.71 A^3/atom.

***

The following is a DFT calculation (PBE) of a geometry-optimized Sc3CdP structure.

a = 4.912 Å, b = 4.912 Å, c = 4.912 Å
α = 90.00°, β = 90.00°, γ = 90.00°
Fractional positions:
P1 0.000 0.000 0.000
Cd1 0.500 0.500 0.500
Sc1 0.000 0.500 0.000
Sc2 0.500 0.000 0.000
Sc3 0.000 0.000 0.500

## Properties
The value obtained for the formation enthalpy at 0 K is -0.5860 eV per atom. For the energy above the most stable polymorph in this dataset, the calculation gives 0.0 kJ per mole of atoms. The calculation puts the final energy at -28.25 eV per formula unit. For the volume, the calculation gives 23.71 A^3/atom.

***

The following is a DFT calculation (PBE) of a geometry-optimized K4PuU3O12 structure.

a = 7.495 Å, b = 7.495 Å, c = 7.495 Å
α = 109.47°, β = 109.47°, γ = 109.47°
Fractional positions:
U1 0.000 0.500 0.500
O1 0.250 0.750 0.500
K1 0.500 0.000 0.000
O2 0.741 0.000 0.741
O3 0.250 0.500 0.750
Pu1 0.000 0.000 0.000
O4 0.000 0.741 0.741
U2 0.500 0.500 0.000
O5 0.750 0.250 0.500
O6 0.259 0.259 0.000
O7 0.750 0.500 0.250
O8 0.259 0.000 0.259
K2 0.500 0.500 0.500
O9 0.500 0.750 0.250
O10 0.500 0.250 0.750
K3 0.000 0.500 0.000
K4 0.000 0.000 0.500
O11 0.741 0.741 0.000
U3 0.500 0.000 0.500
O12 0.000 0.259 0.259

## Properties
As for the uncorrected formation energy: -57.1 eV per formula unit. The calculation puts the final energy at -169.15 eV per formula unit. For the volume, the calculation gives 16.20 A^3/atom.

***

The following is a DFT calculation (PBE) of a geometry-optimized La2MgInRh structure.

a = 5.475 Å, b = 5.475 Å, c = 5.263 Å
α = 90.00°, β = 90.00°, γ = 90.00°
Fractional positions:
In1 0.000 0.000 0.500
La1 0.000 0.500 0.000
Mg1 0.500 0.500 0.500
La2 0.500 0.000 0.000
Rh1 0.000 0.000 0.000

## Properties
The value obtained for the formation enthalpy at 0 K is -0.3790 eV per atom. For the energy above the most stable polymorph in this dataset, the calculation gives 6.5 kJ per mole of atoms. The calculation puts the final energy at -23.43 eV per formula unit. For the volume, the calculation gives 31.55 A^3/atom.

***

The following is a DFT calculation (PBE) of a geometry-optimized YAgBr structure.

a = 4.037 Å, b = 14.384 Å, c = 5.110 Å
α = 90.00°, β = 90.00°, γ = 90.00°
Fractional positions:
Y1 0.000 0.888 0.750
Br1 0.500 0.725 0.750
Br2 0.500 0.275 0.250
Ag1 0.500 0.040 0.750
Ag2 0.000 0.540 0.750
Br3 0.000 0.225 0.750
Ag3 0.000 0.460 0.250
Y2 0.500 0.388 0.750
Y3 0.000 0.112 0.250
Br4 0.000 0.775 0.250
Y4 0.500 0.612 0.250
Ag4 0.500 0.960 0.250

## Properties
For the energy above the most stable polymorph in this dataset, the calculation gives 6.9 kJ per mole of atoms. As for the uncorrected formation energy: -2.3 eV per formula unit. The calculation puts the final energy at -13.32 eV per formula unit. For the volume, the calculation gives 24.73 A^3/atom.

***

The following is a DFT calculation (PBE) of a geometry-optimized MnZn4 structure.

a = 4.764 Å, b = 4.764 Å, c = 4.764 Å
α = 90.00°, β = 90.00°, γ = 90.00°
Fractional positions:
Zn1 0.500 0.500 0.000
Zn2 0.500 0.000 0.500
Mn1 0.500 0.500 0.500
Zn3 0.000 0.500 0.500
Zn4 0.000 0.000 0.000

## Properties
The value obtained for the formation enthalpy at 0 K is 0.6794 eV per atom. For the energy above the most stable polymorph in this dataset, the calculation gives 61.1 kJ per mole of atoms. The calculation puts the final energy at -10.87 eV per formula unit. For the volume, the calculation gives 21.62 A^3/atom.